Computed, not measured: an optimized crystal structure of UFeReSi2 at the PBE level of DFT.

Properties
VASP energy	-87.066	eV for the cell shown
energy relative to the elements, uncorrected	-0.488	eV per formula unit
DOS at the Fermi energy	5.72	states/eV/f.u.

Cell and atoms, written as CIF:
```
data_UFeReSi2
_chemical_formula_sum 'U2 Fe2 Re2 Si4'
_symmetry_space_group_name_H-M 'P m m a'
_symmetry_Int_Tables_number 51
_cell_length_a 5.2632
_cell_length_b 4.9242
_cell_length_c 6.0396
_cell_angle_alpha 90.00
_cell_angle_beta 90.00
_cell_angle_gamma 90.00
loop_
_symmetry_equiv_pos_as_xyz
'x,y,z'
'-x,-y,-z'
'-x+1/2,-y,z'
'x+1/2,y,-z'
'x+1/2,-y,-z'
'-x+1/2,y,z'
'-x,y,-z'
'x,-y,z'
loop_
_atom_site_label
_atom_site_type_symbol
_atom_site_fract_x
_atom_site_fract_y
_atom_site_fract_z
_atom_site_occupancy
U1 U 0.2500 0.0000 0.1966 1
Fe1 Fe 0.0000 0.5000 0.0000 1
Re1 Re 0.2500 0.5000 0.3871 1
Si1 Si 0.2500 0.2521 0.7442 1
```